Entry 1:
Entry from Alexandria via LeMat-Bulk: crystalline Na2La3PmSe6 at its relaxed geometry (GGA-PBE).

a b c (Å): 7.451 7.451 7.362
angles (deg): 99.71 99.71 119.94
Sites, in units of the cell vectors:
Na 0.666 0.334 0.000
Na 0.334 0.666 0.000
Se 0.589 0.918 0.755
Se 0.082 0.411 0.245
Se 0.918 0.589 0.755
Se 0.755 0.755 0.250
Se 0.411 0.082 0.245
Se 0.245 0.245 0.750
La 0.500 0.500 0.500
La 0.831 0.169 0.500
La 0.169 0.831 0.500
Pm 0.000 0.000 0.000

Results
ΔE_f (raw) in kJ/mol of formula units: -2083
Space group: No. 12



Entry 2:
Entry from Alexandria via LeMat-Bulk: crystalline In2IrSe at its relaxed geometry (GGA-PBE).

a b c (Å): 3.572 2.975 7.881
angles (deg): 89.99 90.00 90.00
Sites, in units of the cell vectors:
Se 0.500 0.750 0.750
Ir 0.500 0.250 0.250
In 0.000 0.750 0.045
In 0.000 0.750 0.455

Results
ΔE_f (raw) in kJ/mol of formula units: -22
Space group: No. 47



Entry 3:
Entry from Alexandria via LeMat-Bulk: crystalline Dy8NiHg2 at its relaxed geometry (GGA-PBE).

a b c (Å): 5.409 6.879 9.084
angles (deg): 112.26 107.32 90.00
Sites, in units of the cell vectors:
Dy 0.376 0.614 0.753
Dy 0.624 0.861 0.248
Dy 0.376 0.139 0.752
Dy 0.196 0.197 0.393
Dy 0.000 0.243 0.000
Dy 0.000 0.757 0.000
Dy 0.804 0.803 0.607
Dy 0.624 0.386 0.247
Hg 0.816 0.316 0.632
Hg 0.184 0.684 0.368
Ni 0.500 0.000 0.000

Results
Space group: No. 71
ΔE to the lowest computed polymorph in meV per atom: 71.1
DFT formation energy in kcal/mol of atoms: -3.4



Entry 4:
Entry from Alexandria via LeMat-Bulk: crystalline TmCoC2 at its relaxed geometry (GGA-PBE).

a b c (Å): 4.134 4.950 4.835
angles (deg): 90.00 90.00 114.68
Sites, in units of the cell vectors:
C 0.918 0.175 0.750
C 0.257 0.175 0.750
C 0.743 0.825 0.250
C 0.082 0.825 0.250
Tm 0.180 0.360 0.250
Tm 0.820 0.640 0.750
Co 0.500 0.000 0.000
Co 0.500 0.000 0.500

Results
Space group: No. 63
DFT formation energy in kcal/mol of atoms: -7.6



Entry 5:
Entry from Alexandria via LeMat-Bulk: crystalline Tb5Nd2YEr at its relaxed geometry (GGA-PBE).

a b c (Å): 8.619 8.619 10.023
angles (deg): 115.47 115.47 90.00
Sites, in units of the cell vectors:
Y 0.250 0.250 0.500
Y 0.750 0.750 0.500
Tb 0.500 0.500 0.000
Tb 0.354 0.854 0.282
Tb 0.427 0.354 0.282
Tb 0.573 0.646 0.718
Tb 0.646 0.146 0.718
Tb 0.000 0.000 0.000
Tb 0.073 0.573 0.718
Tb 0.854 0.927 0.282
Tb 0.927 0.427 0.282
Tb 0.146 0.073 0.718
Nd 0.619 0.119 0.000
Nd 0.381 0.881 0.000
Nd 0.881 0.619 0.000
Nd 0.119 0.381 0.000
Er 0.750 0.250 0.500
Er 0.250 0.750 0.500

Results
Space group: No. 140
DFT formation energy in kcal/mol of atoms: 6.3



Entry 6:
Entry from Alexandria via LeMat-Bulk: crystalline Tb3Ga9Cu2 at its relaxed geometry (GGA-PBE).

a b c (Å): 4.197 8.169 8.169
angles (deg): 75.79 75.11 75.11
Sites, in units of the cell vectors:
Tb 0.320 0.680 0.680
Tb 0.680 0.320 0.320
Tb 0.000 0.000 0.000
Ga 0.130 0.593 0.146
Ga 0.662 0.710 0.965
Ga 0.870 0.407 0.854
Ga 0.000 0.500 0.500
Ga 0.662 0.965 0.710
Ga 0.338 0.035 0.290
Ga 0.870 0.854 0.407
Ga 0.338 0.290 0.035
Ga 0.130 0.146 0.593
Cu 0.500 0.280 0.720
Cu 0.500 0.720 0.280

Results
Space group: No. 71
DFT formation energy in kcal/mol of atoms: -11.4



Entry 7:
Entry from Alexandria via LeMat-Bulk: crystalline LiMgFe2C at its relaxed geometry (GGA-PBE).

a b c (Å): 3.741 3.741 4.132
angles (deg): 90.00 90.00 90.00
Sites, in units of the cell vectors:
Fe 0.500 0.000 0.000
Fe 0.000 0.500 0.000
Li 0.000 0.000 0.500
Mg 0.500 0.500 0.500
C 0.000 0.000 0.000

Results
Space group: No. 123
ΔE to the lowest computed polymorph in meV per atom: 0.0
DFT formation energy in kcal/mol of atoms: 0.6



Entry 8:
Entry from Alexandria via LeMat-Bulk: crystalline La2ErGa3Ir4 at its relaxed geometry (GGA-PBE).

a b c (Å): 4.300 4.300 11.082
angles (deg): 90.00 90.00 90.00
Sites, in units of the cell vectors:
Ir 0.500 0.000 0.654
Ir 0.000 0.500 0.346
Ir 0.000 0.000 0.000
Ir 0.500 0.500 0.000
Ga 0.000 0.500 0.117
Ga 0.000 0.000 0.500
Ga 0.500 0.000 0.883
La 0.000 0.500 0.775
La 0.500 0.000 0.225
Er 0.500 0.500 0.500

Results
Space group: No. 115
DFT formation energy in kcal/mol of atoms: -17.3



Entry 9:
Entry from Alexandria via LeMat-Bulk: crystalline MnRe2Bi at its relaxed geometry (GGA-PBE).

a b c (Å): 4.020 4.020 9.991
angles (deg): 78.39 78.39 90.00
Sites, in units of the cell vectors:
Mn 0.500 0.500 0.000
Mn 0.250 0.750 0.500
Re 0.202 0.625 0.250
Re 0.375 0.452 0.750
Re 0.548 0.125 0.250
Re 0.875 0.798 0.750
Bi 0.750 0.250 0.500
Bi 0.000 0.000 0.000

Results
Space group: No. 122
DFT formation energy in kcal/mol of atoms: 21.1



Entry 10:
Entry from Alexandria via LeMat-Bulk: crystalline Pm7Pr12Mg at its relaxed geometry (GGA-PBE).

a b c (Å): 10.151 10.151 10.151
angles (deg): 109.47 109.47 109.47
Sites, in units of the cell vectors:
Pr 0.247 0.754 0.002
Pr 0.507 0.753 0.754
Pr 0.493 0.247 0.246
Pr 0.753 0.754 0.507
Pr 0.754 0.507 0.753
Pr 0.754 0.002 0.247
Pr 0.246 0.493 0.247
Pr 0.247 0.246 0.493
Pr 0.998 0.753 0.246
Pr 0.753 0.246 0.998
Pr 0.002 0.247 0.754
Pr 0.246 0.998 0.753
Pm 0.500 0.000 0.000
Pm 0.500 0.000 0.500
Pm 0.500 0.500 0.500
Pm 0.000 0.000 0.500
Pm 0.500 0.500 0.000
Pm 0.000 0.500 0.000
Pm 0.000 0.500 0.500
Mg 0.000 0.000 0.000

Results
Space group: No. 204
ΔE to the lowest computed polymorph in meV per atom: 424.1
DFT formation energy in kcal/mol of atoms: 13.9



Entry 11:
Entry from Alexandria via LeMat-Bulk: crystalline CsNdSn2Br8 at its relaxed geometry (GGA-PBE).

a b c (Å): 7.417 6.929 9.931
angles (deg): 85.50 83.58 86.78
Sites, in units of the cell vectors:
Nd 0.000 0.000 0.000
Br 0.673 0.767 0.031
Br 0.606 0.738 0.444
Br 0.327 0.233 0.969
Br 0.149 0.742 0.793
Br 0.161 0.752 0.207
Br 0.851 0.258 0.207
Br 0.839 0.248 0.793
Br 0.394 0.262 0.556
Sn 0.483 0.479 0.750
Sn 0.517 0.521 0.250
Cs 0.000 0.000 0.500

Results
ΔE_f (raw) in kJ/mol of formula units: -1486
Space group: No. 2



Entry 12:
Entry from Alexandria via LeMat-Bulk: crystalline LiY2Fe at its relaxed geometry (GGA-PBE).

a b c (Å): 7.520 7.520 6.219
angles (deg): 52.80 52.80 90.00
Sites, in units of the cell vectors:
Y 0.663 0.125 0.250
Y 0.087 0.625 0.250
Y 0.875 0.913 0.750
Y 0.375 0.337 0.750
Li 0.500 0.500 0.000
Li 0.250 0.750 0.500
Fe 0.750 0.250 0.500
Fe 0.000 0.000 0.000

Results
Space group: No. 122
DFT formation energy in kcal/mol of atoms: 10.4



Entry 13:
Entry from Alexandria via LeMat-Bulk: crystalline CoNi2Se at its relaxed geometry (GGA-PBE).

a b c (Å): 4.569 4.569 4.569
angles (deg): 133.69 133.69 67.58
Sites, in units of the cell vectors:
Ni 0.500 0.500 0.000
Ni 0.000 0.000 0.000
Co 0.750 0.250 0.500
Se 0.250 0.750 0.500

Results
ΔE_f (raw) in kJ/mol of formula units: 72
Space group: No. 139



Entry 14:
Entry from Alexandria via LeMat-Bulk: crystalline AlSnF3 at its relaxed geometry (GGA-PBE).

a b c (Å): 4.183 4.183 4.183
angles (deg): 90.00 90.00 90.00
Sites, in units of the cell vectors:
Sn 0.500 0.500 0.500
F 0.000 0.500 0.000
F 0.500 0.000 0.000
F 0.000 0.000 0.500
Al 0.000 0.000 0.000

Results
ΔE_f (raw) in kJ/mol of formula units: -900
Space group: No. 221
ΔE to the lowest computed polymorph in meV per atom: 0.0



Entry 15:
Entry from Alexandria via LeMat-Bulk: crystalline La4HoIn at its relaxed geometry (GGA-PBE).

a b c (Å): 5.495 5.497 7.737
angles (deg): 89.90 89.94 90.00
Sites, in units of the cell vectors:
La 0.001 0.497 0.243
La 0.002 0.497 0.753
La 0.501 0.998 0.753
La 0.501 0.997 0.243
Ho 0.001 0.997 0.498
In 0.501 0.497 0.998

Results
Space group: No. 12
ΔE to the lowest computed polymorph in meV per atom: 398.8
DFT formation energy in kcal/mol of atoms: 5.5



Entry 16:
Entry from Alexandria via LeMat-Bulk: crystalline CoOsC2 at its relaxed geometry (GGA-PBE).

a b c (Å): 4.447 4.447 5.465
angles (deg): 66.00 66.00 90.00
Sites, in units of the cell vectors:
Co 0.250 0.750 0.500
Co 0.500 0.500 0.000
Os 0.000 0.000 0.000
Os 0.750 0.250 0.500
C 0.875 0.862 0.750
C 0.138 0.625 0.250
C 0.375 0.388 0.750
C 0.612 0.125 0.250

Results
Space group: No. 122
ΔE to the lowest computed polymorph in meV per atom: 0.0
DFT formation energy in kcal/mol of atoms: 14.2



Entry 17:
Entry from Alexandria via LeMat-Bulk: crystalline Co2AgCl at its relaxed geometry (GGA-PBE).

a b c (Å): 6.093 6.093 6.093
angles (deg): 151.90 136.19 52.86
Sites, in units of the cell vectors:
Co 0.005 0.005 0.000
Co 0.848 0.348 0.500
Cl 0.181 0.681 0.500
Ag 0.466 0.466 0.000

Results
ΔE_f (raw) in kJ/mol of formula units: 181
Space group: No. 44
ΔE to the lowest computed polymorph in meV per atom: 266.9



Entry 18:
Entry from Alexandria via LeMat-Bulk: crystalline YTeRu2 at its relaxed geometry (GGA-PBE).

a b c (Å): 3.337 4.092 5.633
angles (deg): 90.00 90.00 90.00
Sites, in units of the cell vectors:
Y 0.500 0.500 0.785
Te 0.000 0.000 0.448
Ru 0.000 0.000 0.988
Ru 0.500 0.500 0.279

Results
ΔE_f (raw) in kJ/mol of formula units: -3
Space group: No. 25



Entry 19:
Entry from Alexandria via LeMat-Bulk: crystalline Al2GaI8 at its relaxed geometry (GGA-PBE).

a b c (Å): 7.521 8.454 17.440
angles (deg): 104.03 140.81 90.00
Sites, in units of the cell vectors:
Ga 0.000 0.000 0.000
I 0.489 0.307 0.138
I 0.710 0.867 0.734
I 0.207 0.257 0.513
I 0.511 0.169 0.862
I 0.511 0.693 0.862
I 0.489 0.831 0.138
I 0.793 0.743 0.487
I 0.290 0.133 0.266
Al 0.673 0.144 0.288
Al 0.327 0.856 0.712

Results
ΔE_f (raw) in kJ/mol of formula units: -568
Space group: No. 12
ΔE to the lowest computed polymorph in meV per atom: 18.4



Entry 20:
Entry from Alexandria via LeMat-Bulk: crystalline ThScSn at its relaxed geometry (GGA-PBE).

a b c (Å): 5.232 5.232 6.588
angles (deg): 90.00 90.00 120.00
Sites, in units of the cell vectors:
Th 0.000 0.500 0.500
Th 0.000 0.500 0.000
Sn 0.333 0.167 0.750
Sn 0.667 0.833 0.250
Sc 0.333 0.167 0.250
Sc 0.667 0.833 0.750

Results
Space group: No. 194
DFT formation energy in kcal/mol of atoms: -12.6



Record order is preserved below.
Magnetization: 0.000; 0.000; 0.000; 0.000; 0.000; 0.000; 0.403; 0.000; 0.933; 0.000; 0.000; 0.000; 0.618; 0.000; 0.000; 0.000; 0.994; 0.000; 0.000; 0.000 μB per atom
Record order is preserved below.
Volume: 27.79; 20.94; 26.92; 11.24; 32.84; 18.34; 11.56; 20.49; 19.35; 40.26; 42.09; 22.80; 12.26; 14.64; 38.95; 11.05; 18.35; 19.23; 58.83; 26.03 Å³/atom